# 1
{
  "formula": "BeCr3Hg",
  "functional": "PBE",
  "state": "optimized geometry",
  "e_tot_ev_per_cell": -23.40,
  "magmom_total_mub_per_fu": 13.1,
  "cell": [[5.087, 0.000, 0.000], [0.000, 5.087, 0.000], [0.000, 0.000, 5.087]],
  "species": ["Be", "Cr", "Cr", "Cr", "Hg"],
  "frac_coords": [[0.000, 0.000, 0.000], [0.000, 0.500, 0.500], [0.500, 0.000, 0.500], [0.500, 0.500, 0.000], [0.500, 0.500, 0.500]]
}

***

# 2
{
  "formula": "PmZnCuPd3",
  "functional": "PBE",
  "state": "optimized geometry",
  "e_tot_ev_per_cell": -56.11,
  "magmom_total_mub_per_fu": 0.0,
  "cell": [[2.865, -6.510, 0.000], [2.865, 6.510, 0.000], [0.000, 0.000, 5.785]],
  "species": ["Pm", "Pm", "Zn", "Zn", "Cu", "Cu", "Pd", "Pd", "Pd", "Pd", "Pd", "Pd"],
  "frac_coords": [[0.178, 0.822, 0.750], [0.822, 0.178, 0.250], [0.131, 0.869, 0.250], [0.869, 0.131, 0.750], [0.385, 0.615, 0.750], [0.615, 0.385, 0.250], [0.246, 0.246, 0.000], [0.246, 0.246, 0.500], [0.333, 0.667, 0.250], [0.667, 0.333, 0.750], [0.754, 0.754, 0.000], [0.754, 0.754, 0.500]]
}